1.
The following is a DFT calculation (PBE) of crystalline LaPr2Sn at its relaxed geometry.

- space group = P4/mmm, No. 123
- excess energy over the best structure of this formula in the dataset (meV per atom) = 108
- final energy (eV per atom) = -4.98

extended XYZ file:
```
4
Lattice="4.227 0.000 0.000 0.000 4.227 0.000 0.000 0.000 7.253" Properties=species:S:1:pos:R:3 pbc="T T T"
La 0.000 0.000 0.000
Pr 2.113 2.113 2.047
Pr 2.113 2.113 5.207
Sn 0.000 0.000 3.627
```

2.
The following is a DFT calculation (PBE) of crystalline LaPr4Sn3 at its relaxed geometry.

- space group = I4/mcm, No. 140
- excess energy over the best structure of this formula in the dataset (meV per atom) = 0
- final energy (eV per atom) = -5.18

extended XYZ file:
```
16
Lattice="-6.347 6.347 3.161 6.347 -6.347 3.161 6.347 6.347 -3.161" Properties=species:S:1:pos:R:3 pbc="T T T"
La 6.347 0.000 1.581
La 0.000 6.347 1.581
Pr 9.946 1.049 0.000
Pr 1.049 2.748 0.000
Pr 7.396 3.599 0.000
Pr 3.599 5.298 0.000
Pr 2.748 1.049 3.161
Pr -1.049 2.748 3.161
Pr 5.298 3.599 3.161
Pr -3.599 5.298 3.161
Sn 4.293 2.054 0.000
Sn 0.000 0.000 1.581
Sn 4.293 -2.054 3.161
Sn 2.054 8.401 0.000
Sn 0.000 0.000 4.742
Sn 2.054 4.293 3.161
```

Repeat the first record exactly.
The following is a DFT calculation (PBE) of crystalline LaPr2Sn at its relaxed geometry.

- space group = P4/mmm, No. 123
- excess energy over the best structure of this formula in the dataset (meV per atom) = 108
- final energy (eV per atom) = -4.98

extended XYZ file:
```
4
Lattice="4.227 0.000 0.000 0.000 4.227 0.000 0.000 0.000 7.253" Properties=species:S:1:pos:R:3 pbc="T T T"
La 0.000 0.000 0.000
Pr 2.113 2.113 2.047
Pr 2.113 2.113 5.207
Sn 0.000 0.000 3.627
```

final energy of number 1 (LaPr2Sn)? -4.98 eV per atom

Copy entry 1 word for word.
The following is a DFT calculation (PBE) of crystalline LaPr2Sn at its relaxed geometry.

- space group = P4/mmm, No. 123
- excess energy over the best structure of this formula in the dataset (meV per atom) = 108
- final energy (eV per atom) = -4.98

extended XYZ file:
```
4
Lattice="4.227 0.000 0.000 0.000 4.227 0.000 0.000 0.000 7.253" Properties=species:S:1:pos:R:3 pbc="T T T"
La 0.000 0.000 0.000
Pr 2.113 2.113 2.047
Pr 2.113 2.113 5.207
Sn 0.000 0.000 3.627
```